[1]
Density functional theory data (PBE) for a relaxed structure of K2Rb4P.

Crystal system: tetragonal
Symmetry: I4/mmm
ΔH_f (0 K) in eV/atom: -0.007
Electronic total energy in eV per cell: -11.5

Cell: 13.874 13.874 13.874 Å, 152.46 152.46 39.34°
Element x y z (fractional)
K (0.205, 0.205, 0.000)
K (0.795, 0.795, 0.000)
Rb (0.000, 0.500, 0.500)
Rb (0.377, 0.377, 0.000)
Rb (0.500, 0.000, 0.500)
Rb (0.623, 0.623, 0.000)
P (0.500, 0.500, 0.000)



[2]
Density functional theory data (PBE) for a relaxed structure of Rb2Ag2Pb.

Crystal system: tetragonal
Symmetry: I4/mmm
ΔH_f (0 K) in eV/atom: 0.424
Electronic total energy in eV per cell: -9.2

Cell: 8.252 8.252 8.252 Å, 144.81 144.81 50.62°
Element x y z (fractional)
Rb (0.250, 0.750, 0.500)
Rb (0.750, 0.250, 0.500)
Ag (0.089, 0.089, 0.000)
Ag (0.911, 0.911, 0.000)
Pb (0.500, 0.500, 0.000)



[3]
Density functional theory data (PBE) for a relaxed structure of ZnIn16Hg12.

Crystal system: monoclinic
Symmetry: Cm
ΔH_f (0 K) in eV/atom: 0.026
Electronic total energy in eV per cell: -48.0

Cell: 9.935 9.935 9.908 Å, 109.06 109.06 109.23°
Element x y z (fractional)
Zn (0.000, 0.000, 0.000)
In (0.002, 0.344, 0.857)
In (0.102, 0.495, 0.614)
In (0.121, 0.121, 0.629)
In (0.156, 0.456, 0.267)
In (0.160, 0.760, 0.979)
In (0.344, 0.002, 0.857)
In (0.384, 0.384, 0.577)
In (0.420, 0.780, 0.298)
In (0.445, 0.753, 0.653)
In (0.456, 0.156, 0.267)
In (0.495, 0.102, 0.614)
In (0.714, 0.714, 0.910)
In (0.753, 0.445, 0.653)
In (0.760, 0.160, 0.979)
In (0.772, 0.772, 0.292)
In (0.780, 0.420, 0.298)
Hg (0.123, 0.763, 0.461)
Hg (0.158, 0.972, 0.292)
Hg (0.258, 0.258, 0.038)
Hg (0.365, 0.550, 0.943)
Hg (0.549, 0.549, 0.391)
Hg (0.550, 0.365, 0.943)
Hg (0.571, 0.916, 0.074)
Hg (0.763, 0.123, 0.461)
Hg (0.773, 0.955, 0.676)
Hg (0.916, 0.571, 0.074)
Hg (0.955, 0.773, 0.676)
Hg (0.972, 0.158, 0.292)



[4]
Density functional theory data (PBE) for a relaxed structure of La2Pr7Cd2.

Crystal system: monoclinic
Symmetry: C2/m
ΔH_f (0 K) in eV/atom: -0.058
Electronic total energy in eV per cell: -45.8

Cell: 6.710 6.710 8.885 Å, 102.75 102.75 97.14°
Element x y z (fractional)
La (0.178, 0.822, 0.000)
La (0.822, 0.178, 0.000)
Pr (0.027, 0.377, 0.671)
Pr (0.367, 0.367, 0.088)
Pr (0.377, 0.027, 0.671)
Pr (0.500, 0.500, 0.500)
Pr (0.623, 0.973, 0.329)
Pr (0.633, 0.633, 0.912)
Pr (0.973, 0.623, 0.329)
Cd (0.120, 0.120, 0.331)
Cd (0.880, 0.880, 0.669)



[5]
Density functional theory data (PBE) for a relaxed structure of U3Fe2Ge3.

Crystal system: orthorhombic
Symmetry: Pnma
ΔH_f (0 K) in eV/atom: -0.232
Electronic total energy in eV per cell: -266.0

Cell: 7.670 13.940 5.428 Å, 90.00 90.00 90.00°
Element x y z (fractional)
U (0.033, 0.108, 0.094)
U (0.033, 0.392, 0.094)
U (0.164, 0.250, 0.639)
U (0.336, 0.750, 0.139)
U (0.467, 0.608, 0.594)
U (0.467, 0.892, 0.594)
U (0.533, 0.108, 0.406)
U (0.533, 0.392, 0.406)
U (0.664, 0.250, 0.861)
U (0.836, 0.750, 0.361)
U (0.967, 0.608, 0.906)
U (0.967, 0.892, 0.906)
Fe (0.102, 0.615, 0.353)
Fe (0.102, 0.885, 0.353)
Fe (0.398, 0.115, 0.853)
Fe (0.398, 0.385, 0.853)
Fe (0.602, 0.615, 0.147)
Fe (0.602, 0.885, 0.147)
Fe (0.898, 0.115, 0.647)
Fe (0.898, 0.385, 0.647)
Ge (0.178, 0.036, 0.594)
Ge (0.178, 0.464, 0.594)
Ge (0.178, 0.750, 0.633)
Ge (0.322, 0.250, 0.133)
Ge (0.322, 0.536, 0.094)
Ge (0.322, 0.964, 0.094)
Ge (0.678, 0.036, 0.906)
Ge (0.678, 0.464, 0.906)
Ge (0.678, 0.750, 0.867)
Ge (0.822, 0.250, 0.367)
Ge (0.822, 0.536, 0.406)
Ge (0.822, 0.964, 0.406)



[6]
Density functional theory data (PBE) for a relaxed structure of HoZr2Cd.

Crystal system: trigonal
Symmetry: R-3m
ΔH_f (0 K) in eV/atom: 0.298
Electronic total energy in eV per cell: -21.4

Cell: 11.716 11.716 11.716 Å, 15.74 15.74 15.74°
Element x y z (fractional)
Ho (0.000, 0.000, 0.000)
Zr (0.412, 0.412, 0.412)
Zr (0.588, 0.588, 0.588)
Cd (0.500, 0.500, 0.500)



[7]
Density functional theory data (PBE) for a relaxed structure of SmAlGa4Pd2.

Crystal system: trigonal
Symmetry: R-3m
ΔH_f (0 K) in eV/atom: -0.478
Electronic total energy in eV per cell: -34.8

Cell: 8.942 8.942 8.942 Å, 28.59 28.59 28.59°
Element x y z (fractional)
Sm (0.000, 0.000, 0.000)
Al (0.500, 0.500, 0.500)
Ga (0.125, 0.125, 0.125)
Ga (0.396, 0.396, 0.396)
Ga (0.604, 0.604, 0.604)
Ga (0.875, 0.875, 0.875)
Pd (0.237, 0.237, 0.237)
Pd (0.763, 0.763, 0.763)



[8]
Density functional theory data (PBE) for a relaxed structure of NaAuBr2.

Crystal system: trigonal
Formation energy from raw total energies in eV/atom: -0.81
Symmetry: R-3m
Electronic total energy in eV per cell: -11.2

Cell: 8.161 8.161 8.161 Å, 32.77 32.77 32.77°
Element x y z (fractional)
Na (0.000, 0.000, 0.000)
Au (0.500, 0.500, 0.500)
Br (0.395, 0.395, 0.395)
Br (0.605, 0.605, 0.605)



[9]
Density functional theory data (PBE) for a relaxed structure of CaCuMo.

Crystal system: orthorhombic
Symmetry: Imm2
ΔH_f (0 K) in eV/atom: 0.560
Electronic total energy in eV per cell: -15.2

Cell: 6.031 6.031 6.031 Å, 153.01 144.27 45.34°
Element x y z (fractional)
Ca (0.000, 0.000, 0.000)
Cu (0.309, 0.309, 0.000)
Mo (0.710, 0.710, 0.000)



[10]
Density functional theory data (PBE) for a relaxed structure of NdPu3Al8.

Crystal system: trigonal
Symmetry: P3m1
ΔH_f (0 K) in eV/atom: -0.356
Electronic total energy in eV per cell: -82.0

Cell: 5.618 5.618 8.928 Å, 90.00 90.00 120.00°
Element x y z (fractional)
Nd (0.000, 0.000, 0.000)
Pu (0.000, 0.000, 0.365)
Pu (0.667, 0.333, 0.501)
Pu (0.667, 0.333, 0.844)
Al (0.162, 0.323, 0.677)
Al (0.162, 0.838, 0.677)
Al (0.333, 0.667, 0.426)
Al (0.333, 0.667, 0.925)
Al (0.506, 0.012, 0.178)
Al (0.506, 0.494, 0.178)
Al (0.677, 0.838, 0.677)
Al (0.988, 0.494, 0.178)



[11]
Density functional theory data (PBE) for a relaxed structure of LuNpGa2.

Crystal system: tetragonal
Symmetry: P4/mmm
ΔH_f (0 K) in eV/atom: -0.211
Electronic total energy in eV per cell: -24.4

Cell: 5.061 5.061 3.422 Å, 90.00 90.00 90.00°
Element x y z (fractional)
Lu (0.000, 0.000, 0.000)
Np (0.500, 0.500, 0.000)
Ga (0.000, 0.500, 0.500)
Ga (0.500, 0.000, 0.500)



[12]
Density functional theory data (PBE) for a relaxed structure of LaTbZr.

Crystal system: tetragonal
Symmetry: P4/nmm
ΔH_f (0 K) in eV/atom: 0.071
Electronic total energy in eV per cell: -35.8

Cell: 3.822 3.822 12.708 Å, 90.00 90.00 90.00°
Element x y z (fractional)
La (0.250, 0.250, 0.100)
La (0.750, 0.750, 0.900)
Tb (0.250, 0.250, 0.703)
Tb (0.750, 0.750, 0.297)
Zr (0.250, 0.250, 0.449)
Zr (0.750, 0.750, 0.551)